Density functional theory data (GGA-PBE) for an optimized crystal structure of ZrTcCl2.

density of states at the Fermi level: 2.3 states/eV per cell
energy above the lowest structure with this stoichiometry: 0 meV per atom

a = 7.271 Å, b = 7.271 Å, c = 4.453 Å
α = 86.18°, β = 86.18°, γ = 25.59°
Each line ends with the local moment (μB).
Sites, in units of the cell vectors:
Tc 0.750 0.750 0.750  0.73
Zr 0.250 0.250 0.250  -0.10
Cl 0.889 0.889 0.033  0.02
Cl 0.611 0.611 0.467  0.02

Density functional theory data (GGA-PBE) for an optimized crystal structure of CaPrSn4.

density of states at the Fermi level: 6.1 states/eV per cell
calculated formation energy: -374 meV per atom
energy above the lowest structure with this stoichiometry: 127 meV per atom

a = 6.264 Å, b = 6.264 Å, c = 6.264 Å
α = 60.00°, β = 60.00°, γ = 60.00°
Sites, in units of the cell vectors:
Pr 0.000 0.000 0.000
Ca 0.250 0.250 0.250
Sn 0.625 0.625 0.125
Sn 0.625 0.125 0.625
Sn 0.625 0.625 0.625
Sn 0.125 0.625 0.625

Density functional theory data (GGA-PBE) for an optimized crystal structure of Y4ZnHg.

density of states at the Fermi level: 6.5 states/eV per cell
calculated formation energy: 394 meV per atom
energy above the lowest structure with this stoichiometry: 667 meV per atom

a = 6.274 Å, b = 6.274 Å, c = 6.274 Å
α = 60.00°, β = 60.00°, γ = 60.00°
Sites, in units of the cell vectors:
Y 0.875 0.375 0.375
Y 0.375 0.375 0.875
Y 0.375 0.875 0.375
Y 0.375 0.375 0.375
Zn 0.750 0.750 0.750
Hg 0.000 0.000 0.000

Density functional theory data (GGA-PBE) for an optimized crystal structure of BeTlMo2.

density of states at the Fermi level: 3.0 states/eV per cell
calculated formation energy: 362 meV per atom
energy above the lowest structure with this stoichiometry: 0 meV per atom

a = 3.215 Å, b = 3.215 Å, c = 6.422 Å
α = 90.00°, β = 90.00°, γ = 90.00°
Sites, in units of the cell vectors:
Be 0.500 0.500 0.802
Tl 0.000 0.000 0.521
Mo 0.000 0.000 0.985
Mo 0.500 0.500 0.192

Density functional theory data (GGA-PBE) for an optimized crystal structure of Ta2Mn2Au.

density of states at the Fermi level: 4.4 states/eV per cell
calculated formation energy: 276 meV per atom
energy above the lowest structure with this stoichiometry: 205 meV per atom

a = 3.071 Å, b = 3.071 Å, c = 8.719 Å
α = 79.86°, β = 79.86°, γ = 90.00°
Sites, in units of the cell vectors:
Mn 0.750 0.250 0.500
Mn 0.250 0.750 0.500
Au 0.000 0.000 0.000
Ta 0.382 0.382 0.235
Ta 0.618 0.618 0.765

Density functional theory data (GGA-PBE) for an optimized crystal structure of Nd6AgRh5.

density of states at the Fermi level: 6.3 states/eV per cell
calculated formation energy: -585 meV per atom

a = 5.035 Å, b = 7.215 Å, c = 7.958 Å
α = 90.00°, β = 108.71°, γ = 90.00°
Sites, in units of the cell vectors:
Rh 0.667 0.500 0.336
Rh 0.337 0.000 0.675
Rh 0.000 0.500 0.000
Rh 0.663 0.000 0.325
Rh 0.333 0.500 0.664
Nd 0.830 0.746 0.659
Nd 0.830 0.254 0.659
Nd 0.500 0.260 0.000
Nd 0.500 0.740 0.000
Nd 0.170 0.746 0.341
Nd 0.170 0.254 0.341
Ag 0.000 0.000 0.000

Density functional theory data (GGA-PBE) for an optimized crystal structure of Li3CrAs.

density of states at the Fermi level: 1.6 states/eV per cell
calculated formation energy: 166 meV per atom
energy above the lowest structure with this stoichiometry: 0 meV per atom

a = 4.784 Å, b = 4.784 Å, c = 4.784 Å
α = 90.00°, β = 90.00°, γ = 90.00°
Each line ends with the local moment (μB).
Sites, in units of the cell vectors:
Cr 0.500 0.500 0.500  -4.37
As 0.000 0.000 0.000  -0.08
Li 0.000 0.500 0.000  -0.01
Li 0.000 0.000 0.500  -0.01
Li 0.500 0.000 0.000  -0.01

Density functional theory data (GGA-PBE) for an optimized crystal structure of AgRu2Br.

density of states at the Fermi level: 6.7 states/eV per cell
energy above the lowest structure with this stoichiometry: 539 meV per atom

a = 3.103 Å, b = 3.103 Å, c = 6.642 Å
α = 90.00°, β = 90.00°, γ = 90.00°
Sites, in units of the cell vectors:
Ru 0.000 0.000 0.981
Ru 0.000 0.000 0.519
Br 0.500 0.500 0.750
Ag 0.500 0.500 0.250

Which value of density of states at the Fermi level does entry 1 give?
2.3 states/eV per cell